Entry from Alexandria via LeMat-Bulk: NaPd3F after structural relaxation (PBE-GGA).

Output
As for the polymorph energy (0 for the lowest one): 922 meV per atom. For the total energy, the calculation gives -2.74 eV per atom. The uncorrected formation energy is 1018 meV per atom. As for the density of states at the Fermi level: 1.36 states/eV per atom.

Cell lengths 4.816, 4.816, 4.816 Å; angles 90.00, 90.00, 90.00 degrees
Element x y z (fractional)
Na  0.000  0.000  0.000
Pd  0.500  0.000  0.000
F  0.500  0.500  0.500
Pd  0.000  0.000  0.500
Pd  0.000  0.500  0.000